[1]
SrLa2Al | PBEsol | optimized geometry

a = 6.062 Å, b = 6.062 Å, c = 6.062 Å
α = 131.83°, β = 131.83°, γ = 70.50°
Fractional positions:
Sr1 0.000 0.000 0.000
La1 0.250 0.750 0.500
La2 0.750 0.250 0.500
Al1 0.500 0.500 0.000

Output
Spin magnetization, μB/f.u.: 0.00
Formation energy from the elements, eV/atom: -0.0191

=====

[2]
SrLa2Al | PBEsol | optimized geometry

a = 6.199 Å, b = 6.199 Å, c = 6.199 Å
α = 133.45°, β = 133.45°, γ = 67.95°
Fractional positions:
Sr1 0.000 0.000 0.000
La1 0.250 0.750 0.500
La2 0.500 0.500 0.000
Al1 0.750 0.250 0.500

Output
Spin magnetization, μB/f.u.: 0.00
Formation energy from the elements, eV/atom: 0.0110

=====

[3]
La2TaAl | PBEsol | optimized geometry

a = 3.723 Å, b = 3.723 Å, c = 7.291 Å
α = 90.00°, β = 90.00°, γ = 90.00°
Fractional positions:
La1 0.000 0.000 0.247
La2 0.000 0.000 0.753
Ta1 0.500 0.500 0.000
Al1 0.500 0.500 0.500

Output
Spin magnetization, μB/f.u.: 0.00
Formation energy from the elements, eV/atom: 0.3155

=====

[4]
LaTaAl2 | PBEsol | optimized geometry

a = 5.160 Å, b = 5.160 Å, c = 5.160 Å
α = 129.43°, β = 129.43°, γ = 74.32°
Fractional positions:
La1 0.000 0.000 0.000
Ta1 0.500 0.500 0.000
Al1 0.250 0.750 0.500
Al2 0.750 0.250 0.500

Output
Spin magnetization, μB/f.u.: 0.00
Formation energy from the elements, eV/atom: 0.0041

=====

[5]
LaTaAl2 | PBEsol | optimized geometry

a = 4.364 Å, b = 4.364 Å, c = 4.325 Å
α = 90.00°, β = 90.00°, γ = 90.00°
Fractional positions:
La1 0.000 0.000 0.000
Ta1 0.500 0.500 0.000
Al1 0.000 0.500 0.500
Al2 0.500 0.000 0.500

Output
Spin magnetization, μB/f.u.: 0.00
Formation energy from the elements, eV/atom: 0.1640

=====

[6]
LaTaAl2 | PBEsol | optimized geometry

a = 10.327 Å, b = 10.327 Å, c = 10.327 Å
α = 16.84°, β = 16.84°, γ = 16.84°
Fractional positions:
La1 0.000 0.000 0.000
Ta1 0.500 0.500 0.500
Al1 0.240 0.240 0.240
Al2 0.760 0.760 0.760

Output
Spin magnetization, μB/f.u.: 0.00
Formation energy from the elements, eV/atom: 0.0390

=====

[7]
La2TaAl | PBEsol | optimized geometry

a = 6.558 Å, b = 6.558 Å, c = 6.558 Å
α = 101.66°, β = 101.66°, γ = 126.57°
Fractional positions:
La1 0.121 0.125 0.496
La2 0.375 0.879 0.004
La3 0.629 0.625 0.504
La4 0.875 0.371 0.996
Ta1 0.000 0.000 0.000
Ta2 0.750 0.250 0.500
Al1 0.250 0.750 0.500
Al2 0.500 0.500 0.000

Output
Spin magnetization, μB/f.u.: 0.00
Formation energy from the elements, eV/atom: 0.5804

=====

[8]
La2TaAl | PBEsol | optimized geometry

a = 5.707 Å, b = 5.707 Å, c = 3.159 Å
α = 90.00°, β = 90.00°, γ = 110.14°
Fractional positions:
La1 0.000 0.500 0.000
La2 0.500 0.000 0.000
Ta1 0.000 0.000 0.500
Al1 0.500 0.500 0.500

Output
Spin magnetization, μB/f.u.: 0.00
Formation energy from the elements, eV/atom: 0.2240

=====

[9]
LaTaAl2 | PBEsol | optimized geometry

a = 2.983 Å, b = 2.983 Å, c = 8.899 Å
α = 90.00°, β = 90.00°, γ = 90.00°
Fractional positions:
La1 0.000 0.000 0.000
Ta1 0.000 0.000 0.500
Al1 0.500 0.500 0.284
Al2 0.500 0.500 0.716

Output
Spin magnetization, μB/f.u.: 0.00
Formation energy from the elements, eV/atom: -0.1568

=====

[10]
LaTaAl2 | PBEsol | optimized geometry

a = 5.243 Å, b = 5.243 Å, c = 3.073 Å
α = 90.00°, β = 90.00°, γ = 109.05°
Fractional positions:
La1 0.000 0.000 0.000
Ta1 0.500 0.500 0.000
Al1 0.000 0.500 0.500
Al2 0.500 0.000 0.500

Output
Spin magnetization, μB/f.u.: 0.00
Formation energy from the elements, eV/atom: 0.0803

=====

[11]
LaTaAl2 | PBEsol | optimized geometry

a = 10.463 Å, b = 10.463 Å, c = 10.463 Å
α = 16.49°, β = 16.49°, γ = 16.49°
Fractional positions:
La1 0.000 0.000 0.000
Ta1 0.763 0.763 0.763
Al1 0.241 0.241 0.241
Al2 0.502 0.502 0.502

Output
Spin magnetization, μB/f.u.: 0.00
Formation energy from the elements, eV/atom: 0.1959

=====

[12]
La2AlTc | PBEsol | optimized geometry

a = 4.943 Å, b = 4.943 Å, c = 4.943 Å
α = 60.00°, β = 60.00°, γ = 60.00°
Fractional positions:
La1 0.000 0.000 0.000
La2 0.250 0.250 0.250
Al1 0.750 0.750 0.750
Tc1 0.500 0.500 0.500

Output
Spin magnetization, μB/f.u.: 0.00
Formation energy from the elements, eV/atom: 0.0624

=====

[13]
La2AlTc | PBEsol | optimized geometry

a = 4.998 Å, b = 4.998 Å, c = 3.779 Å
α = 90.00°, β = 90.00°, γ = 90.00°
Fractional positions:
La1 0.000 0.500 0.000
La2 0.500 0.000 0.000
Al1 0.000 0.000 0.500
Tc1 0.500 0.500 0.500

Output
Spin magnetization, μB/f.u.: 0.00
Formation energy from the elements, eV/atom: 0.1062

=====

[14]
LaAl2Tc | PBEsol | optimized geometry

a = 9.809 Å, b = 9.809 Å, c = 9.809 Å
α = 17.54°, β = 17.54°, γ = 17.54°
Fractional positions:
La1 0.000 0.000 0.000
Al1 0.235 0.235 0.235
Al2 0.489 0.489 0.489
Tc1 0.756 0.756 0.756

Output
Spin magnetization, μB/f.u.: 0.00
Formation energy from the elements, eV/atom: 0.2469

=====

[15]
LaAl2Tc | PBEsol | optimized geometry

a = 9.186 Å, b = 9.186 Å, c = 9.186 Å
α = 149.62°, β = 149.62°, γ = 43.50°
Fractional positions:
La1 0.000 0.000 0.000
La2 0.750 0.250 0.500
Al1 0.336 0.625 0.211
Al2 0.375 0.586 0.711
Al3 0.414 0.125 0.789
Al4 0.875 0.664 0.289
Tc1 0.250 0.750 0.500
Tc2 0.500 0.500 0.000

Output
Spin magnetization, μB/f.u.: 0.00
Formation energy from the elements, eV/atom: 0.3006

=====

[16]
LaAl2Tc | PBEsol | optimized geometry

a = 4.746 Å, b = 4.746 Å, c = 4.746 Å
α = 60.00°, β = 60.00°, γ = 60.00°
Fractional positions:
La1 0.000 0.000 0.000
Al1 0.250 0.250 0.250
Al2 0.750 0.750 0.750
Tc1 0.500 0.500 0.500

Output
Spin magnetization, μB/f.u.: 0.00
Formation energy from the elements, eV/atom: 0.0314

=====

[17]
La2AlTc | PBEsol | optimized geometry

a = 9.196 Å, b = 9.196 Å, c = 9.196 Å
α = 21.66°, β = 21.66°, γ = 21.66°
Fractional positions:
La1 0.000 0.000 0.000
La2 0.226 0.226 0.226
Al1 0.759 0.759 0.759
Tc1 0.483 0.483 0.483

Output
Spin magnetization, μB/f.u.: 0.00
Formation energy from the elements, eV/atom: 0.1911

=====

[18]
LaAl4Tc | PBEsol | optimized geometry

a = 5.334 Å, b = 5.334 Å, c = 5.334 Å
α = 60.00°, β = 60.00°, γ = 60.00°
Fractional positions:
La1 0.000 0.000 0.000
Al1 0.376 0.376 0.376
Al2 0.376 0.376 0.873
Al3 0.376 0.873 0.376
Al4 0.873 0.376 0.376
Tc1 0.750 0.750 0.750

Output
Spin magnetization, μB/f.u.: 0.00
Formation energy from the elements, eV/atom: -0.0169

=====

[19]
LaAl2Te | PBEsol | optimized geometry

a = 5.661 Å, b = 5.661 Å, c = 5.661 Å
α = 133.04°, β = 132.27°, γ = 69.20°
Fractional positions:
La1 0.000 0.000 0.000
Al1 0.519 0.519 0.000
Al2 0.750 0.250 0.500
Te1 0.251 0.751 0.500

Output
Spin magnetization, μB/f.u.: 0.00
Uncorrected formation energy, eV per atom: -0.447

=====

[20]
LaAl2Te | PBEsol | optimized geometry

a = 5.183 Å, b = 5.183 Å, c = 5.183 Å
α = 60.00°, β = 60.00°, γ = 60.00°
Fractional positions:
La1 0.000 0.000 0.000
Al1 0.250 0.250 0.250
Al2 0.500 0.500 0.500
Te1 0.750 0.750 0.750

Output
Spin magnetization, μB/f.u.: 0.00
Uncorrected formation energy, eV per atom: -0.285